# ZrAg2Te

A relaxed ZrAg2Te crystal (GGA-PBE, the Alexandria database).

The calculation puts the density of states at the Fermi level at 0.55 states/eV per atom.

The structure belongs to space group P4/mmm (No. 123); the cell edges are 3.090, 3.090 and 9.448 Å and the angles 90.00°, 90.00° and 90.00°. Symmetry generates all atoms from Zr at (0.000, 0.000, 0.000), Ag at (0.500, 0.500, 0.227) and Te at (0.000, 0.000, 0.500).

=====

# Zr3Ag5Te12

A relaxed Zr3Ag5Te12 crystal (GGA-PBE, the Alexandria database).

The calculation puts the density of states at the Fermi level at 0.66 states/eV per atom.

The structure belongs to space group Ia-3d (No. 230); the cell edges are 16.886, 16.886 and 16.886 Å and the angles 90.00°, 90.00° and 90.00°. Symmetry generates all atoms from Zr at (0.000, 0.250, 0.125), Ag at (0.000, 0.000, 0.000), Ag at (0.000, 0.250, 0.375) and Te at (0.018, 0.073, 0.655).

=====

# Zr2AgTe2

A relaxed Zr2AgTe2 crystal (GGA-PBE, the Alexandria database).

The calculation puts the density of states at the Fermi level at 0.89 states/eV per atom.

The structure belongs to space group P4/mbm (No. 127); the cell edges are 7.903, 7.903 and 3.775 Å and the angles 90.00°, 90.00° and 90.00°. Symmetry generates all atoms from Zr at (0.144, 0.356, 0.000), Ag at (0.000, 0.000, 0.000) and Te at (0.150, 0.650, 0.500).

=====

# Zr2Ag2Te

A relaxed Zr2Ag2Te crystal (GGA-PBE, the Alexandria database).

The calculation puts the density of states at the Fermi level at 1.14 states/eV per atom.

The structure belongs to space group P4/mbm (No. 127); the cell edges are 7.448, 7.448 and 4.165 Å and the angles 90.00°, 90.00° and 90.00°. Symmetry generates all atoms from Zr at (0.155, 0.345, 0.000), Ag at (0.135, 0.635, 0.500) and Te at (0.000, 0.000, 0.000).

=====

no.,uncorrected formation energy (meV/atom)
1,62
2,-230
3,-521
4,-94